Crystalline Cr6GaC at its relaxed geometry. Source: Alexandria, functional PBE.

Output
symmetry: P-1

Unit cell a=4.2811 b=4.7748 c=4.8106 alpha=96.85 beta=93.97 gamma=109.69
Closest atoms and distances in Å follow each position.
Sites, in units of the cell vectors:
Cr (0.0755, 0.1544, 0.2909)  1 C 1.96
Cr (0.2047, 0.4118, 0.8564)  1 C 2.02
Cr (0.4242, 0.7497, 0.4285)  1 C 1.89
Cr (0.5758, 0.2503, 0.5715)  1 C 1.89
Cr (0.7953, 0.5882, 0.1436)  1 C 2.02
Cr (0.9245, 0.8456, 0.7091)  1 C 1.96
Ga (0.5000, 0.0000, 0.0000)  8 Cr 2.49-2.64
C (0.0000, 0.5000, 0.5000)  6 Cr 1.89-2.02

---

Crystalline Cr3GaC at its relaxed geometry. Source: Alexandria, functional PBE.

Output
symmetry: Cmcm

Unit cell a=5.2683 b=5.2683 c=7.8982 alpha=90.00 beta=90.00 gamma=148.55
Closest atoms and distances in Å follow each position.
Sites, in units of the cell vectors:
Cr (0.0203, 0.9797, 0.7500)  2 C 1.99
Cr (0.3730, 0.6270, 0.5399)  2 C 1.95
Cr (0.3730, 0.6270, 0.9601)  2 C 1.95
Cr (0.6270, 0.3730, 0.0399)  2 C 1.95
Cr (0.6270, 0.3730, 0.4601)  2 C 1.95
Cr (0.9797, 0.0203, 0.2500)  2 C 1.99
Ga (0.2612, 0.7388, 0.2500)  9 Cr 2.56-2.86, 2 Ga 2.86
Ga (0.7388, 0.2612, 0.7500)  9 Cr 2.56-2.86, 2 Ga 2.86
C (0.0000, 0.0000, 0.0000)  6 Cr 1.95-1.99
C (0.0000, 0.0000, 0.5000)  6 Cr 1.95-1.99

---

Energy relative to the elements per entry: 0.3, -0.3 eV/f.u.
Theoretical density per entry: 7161, 6903 kg/m3